# SnPPtO, relaxed, DFT PBE
data_SnPPtO
_chemical_formula_sum 'Sn2 P2 Pt2 O2'
_cell_length_a 4.5346
_cell_length_b 3.4916
_cell_length_c 9.5437
_cell_angle_alpha 90.00
_cell_angle_beta 90.00
_cell_angle_gamma 90.00
_symmetry_space_group_name_H-M 'A m m 2'
_symmetry_Int_Tables_number 38
loop_
_symmetry_equiv_pos_as_xyz
'x,y,z'
'-x,-y,z'
'-x,y,z'
'x,-y,z'
'x,y+1/2,z+1/2'
'-x,-y+1/2,z+1/2'
'-x,y+1/2,z+1/2'
'x,-y+1/2,z+1/2'
loop_
_atom_site_label
_atom_site_type_symbol
_atom_site_fract_x
_atom_site_fract_y
_atom_site_fract_z
Sn1 Sn 0.0000 0.0000 0.0000
P1 P 0.5000 0.0000 0.7688
Pt1 Pt 0.0000 0.0000 0.7153
O1 O 0.5000 0.0000 0.9376
# energy = -5.864 eV/atom
# excess energy over the best structure of this formula in the dataset = 0.051 eV/atom
# crystal system = orthorhombic
# density of states at the Fermi level = 0.21 states/eV/atom
# V = 18.89 Å³/atom
# formation energy without anion corrections = -761 meV/atom